--- one ---
AlVPCl2 | PBE | optimized geometry

abc: 4.8370 4.8370 4.7322
angles: 90.00 90.00 90.00
Last column: nearest neighbours and their distance in Å.
Sites, in units of the cell vectors:
1 V 0.0000 0.0000 0.0000  2 P 2.37, 4 Cl 2.42
2 Al 0.5000 0.5000 0.5000  8 Cl 3.38, 4 P 3.42
3 Cl 0.5000 0.0000 0.0000  2 V 2.42
4 Cl 0.0000 0.5000 0.0000  2 V 2.42
5 P 0.0000 0.0000 0.5000  2 V 2.37

Computed properties:
As for the crystal system: tetragonal. As for the theoretical density: 2.70 Mg/m³.

***

--- two ---
AlVPCl2 | PBE | optimized geometry

abc: 4.5530 4.5530 5.0284
angles: 90.00 90.00 90.00
Last column: nearest neighbours and their distance in Å.
Sites, in units of the cell vectors:
1 Cl 0.0000 0.5000 0.0000  2 Al 2.28
2 Cl 0.5000 0.0000 0.0000  2 Al 2.28
3 V 0.5000 0.5000 0.5000  4 P 3.22, 8 Cl 3.39
4 Al 0.0000 0.0000 0.0000  4 Cl 2.28, 2 P 2.51
5 P 0.0000 0.0000 0.5000  2 Al 2.51

Computed properties:
As for the crystal system: tetragonal. As for the theoretical density: 2.86 Mg/m³.

***

The data favor one; the next most stable structure lies 0.242 eV/atom above it.